VASP calculation (PBE) on a relaxed Tb2CrSi crystal.

The structure belongs to space group R-3m (No. 166, hexagonal axes); the cell edges are 3.4629, 3.4629 and 29.9829 Å and the angles 90.00°, 90.00° and 120.00°. The asymmetric unit holds Tb at (0.0000, 0.0000, 0.0983), Cr at (0.0000, 0.0000, 0.0000) and Si at (0.0000, 0.0000, 0.5000).

The calculation puts the volume at 104 Å³/f.u.

***

VASP calculation (PBE) on a relaxed CrSiTc2 crystal.

The structure belongs to space group P2/m (No. 10); the cell edges are 2.710, 4.047 and 4.953 Å and the angles 90.00°, 99.13° and 90.00°. The asymmetric unit holds Cr at (0.000, 0.000, 0.000), Si at (0.500, 0.000, 0.500) and Tc at (0.263, 0.500, 0.749).

The calculation puts the volume at 54 Å³/f.u.

***

VASP calculation (PBE) on a relaxed CrSi2Tc crystal.

The structure belongs to space group Amm2 (No. 38); the cell edges are 3.978, 3.000 and 8.652 Å and the angles 90.00°, 90.00° and 90.00°. The asymmetric unit holds Cr at (0.000, 0.000, 0.000), Si at (0.000, 0.000, 0.724), Si at (0.500, 0.000, 0.545) and Tc at (0.500, 0.000, 0.271).

The calculation puts the volume at 52 Å³/f.u.

***

VASP calculation (PBE) on a relaxed CrSi2Tc crystal.

The structure belongs to space group Imm2 (No. 44); the cell edges are 2.999, 3.897 and 8.732 Å and the angles 90.00°, 90.00° and 90.00°. The asymmetric unit holds Cr at (0.000, 0.000, 0.000), Si at (0.000, 0.000, 0.504), Si at (0.000, 0.500, 0.722) and Tc at (0.000, 0.500, 0.254).

The calculation puts the volume at 51 Å³/f.u.

***

VASP calculation (PBE) on a relaxed CrSi2Tc crystal.

The structure belongs to space group I-42d (No. 122); the cell edges are 6.482, 6.482 and 5.575 Å and the angles 90.00°, 90.00° and 90.00°. The asymmetric unit holds Cr at (0.000, 0.000, 0.000), Si at (0.248, 0.250, 0.125) and Tc at (0.000, 0.000, 0.500).

The calculation puts the volume at 59 Å³/f.u.

***

VASP calculation (PBE) on a relaxed CrSiTc2 crystal.

The structure belongs to space group I-42d (No. 122); the cell edges are 6.538, 6.538 and 5.409 Å and the angles 90.00°, 90.00° and 90.00°. The asymmetric unit holds Cr at (0.000, 0.000, 0.000), Si at (0.000, 0.000, 0.500) and Tc at (0.246, 0.250, 0.125).

The calculation puts the volume at 58 Å³/f.u.

***

no.,formation energy from raw total energies (eV/atom),magnetization (Bohr magnetons per cell),total energy (eV/atom)
1,0.459,11.67,-5.618
2,-0.041,0.00,-8.985
3,-0.333,0.01,-8.042
4,-0.201,0.00,-7.909
5,0.331,9.14,-7.378
6,0.496,0.01,-8.448